Record 1
This record from Alexandria describes a relaxed structure of Li2NdHo2Bi2. The functional is PBE-GGA.

Cell lengths 4.8909, 4.8909, 26.9494 Å; angles 90.00, 90.00, 120.00 degrees
Space group R-3m (No. 166, hexagonal axes)
Symmetry-distinct sites (fractional):
Li  0.0000  0.0000  0.0847 [6 per cell]
Nd  0.0000  0.0000  0.5000 [3 per cell]
Ho  0.0000  0.0000  0.3675 [6 per cell]
Bi  0.0000  0.0000  0.2376 [6 per cell]

Final energy   -84.921 eV per cell
Formation enthalpy at 0 K   -0.40 eV per atom



Record 2
This record from Alexandria describes a relaxed structure of RbSrHg2F8. The functional is PBE-GGA.

Cell lengths 5.9317, 5.9317, 11.3136 Å; angles 90.00, 90.00, 90.00 degrees
Space group I-4m2 (No. 119)
Symmetry-distinct sites (fractional):
Rb  0.0000  0.0000  0.0000 [2 per cell]
Sr  0.0000  0.5000  0.7500 [2 per cell]
Hg  0.0000  0.0000  0.5000 [2 per cell]
Hg  0.0000  0.5000  0.2500 [2 per cell]
F  0.2216  0.2323  0.3683 [16 per cell]

Formation energy from raw total energies   -2.13 eV per atom
Final energy   -87.591 eV per cell



Record 3
This record from Alexandria describes a relaxed structure of PrY4. The functional is PBE-GGA.

Cell lengths 5.4967, 16.9082, 3.5592 Å; angles 90.00, 90.00, 90.00 degrees
Space group Cmmm (No. 65)
Symmetry-distinct sites (fractional):
Pr  0.0000  0.0000  0.0000 [2 per cell]
Y  0.0000  0.2003  0.0000 [4 per cell]
Y  0.0000  0.3894  0.5000 [4 per cell]

Final energy   -60.935 eV per cell
Formation enthalpy at 0 K   0.03 eV per atom



Record 4
This record from Alexandria describes a relaxed structure of Ho2Zn9Ni3. The functional is PBE-GGA.

Cell lengths 13.1030, 7.3061, 10.2132 Å; angles 90.00, 116.00, 90.00 degrees
Space group C2/c (No. 15)
Symmetry-distinct sites (fractional):
Ho  0.1698  0.0777  0.2405 [8 per cell]
Zn  0.0000  0.3502  0.2500 [4 per cell]
Zn  0.0588  0.0949  0.9173 [8 per cell]
Zn  0.0959  0.4181  0.0435 [8 per cell]
Zn  0.1048  0.3241  0.7441 [8 per cell]
Zn  0.2195  0.4149  0.4337 [8 per cell]
Ni  0.0897  0.2247  0.5047 [8 per cell]
Ni  0.2500  0.2500  0.0000 [4 per cell]

Final energy   -169.055 eV per cell
Formation enthalpy at 0 K   -0.31 eV per atom



Record 5
This record from Alexandria describes a relaxed structure of Sc3CdC. The functional is PBE-GGA.

Cell lengths 5.7904, 5.7904, 21.9290 Å; angles 90.00, 90.00, 120.00 degrees
Space group R-3 (No. 148, hexagonal axes)
Symmetry-distinct sites (fractional):
Sc  0.0077  0.3510  0.4422 [18 per cell]
Cd  0.0000  0.0000  0.3375 [6 per cell]
C  0.0000  0.0000  0.1627 [6 per cell]

Final energy   -182.622 eV per cell
Formation enthalpy at 0 K   -0.26 eV per atom



Record 6
This record from Alexandria describes a relaxed structure of Tc3Sb5As. The functional is PBE-GGA.

Cell lengths 6.0952, 3.2530, 20.2909 Å; angles 90.00, 92.34, 90.00 degrees
Space group P2/m (No. 10)
Symmetry-distinct sites (fractional):
Tc  0.0000  0.0000  0.0000 [1 per cell]
Tc  0.0109  0.0000  0.6701 [2 per cell]
Tc  0.4783  0.5000  0.8274 [2 per cell]
Tc  0.5000  0.5000  0.5000 [1 per cell]
Sb  0.1770  0.0000  0.8802 [2 per cell]
Sb  0.1901  0.0000  0.5480 [2 per cell]
Sb  0.2062  0.0000  0.2142 [2 per cell]
Sb  0.2829  0.5000  0.3875 [2 per cell]
Sb  0.3237  0.5000  0.0482 [2 per cell]
As  0.2608  0.5000  0.7251 [2 per cell]

Formation energy from raw total energies   -0.04 eV per atom
Final energy   -113.411 eV per cell



Record 7
This record from Alexandria describes a relaxed structure of Np2AsH2Se. The functional is PBE-GGA.

Cell lengths 3.8601, 3.8601, 7.6181 Å; angles 90.00, 90.00, 120.00 degrees
Space group P-3m1 (No. 164)
Symmetry-distinct sites (fractional):
Np  0.3333  0.6667  0.2449 [2 per cell]
As  0.0000  0.0000  0.0000 [1 per cell]
H  0.3333  0.6667  0.7521 [2 per cell]
Se  0.0000  0.0000  0.5000 [1 per cell]

Final energy   -45.029 eV per cell



Record 8
This record from Alexandria describes a relaxed structure of K2Tl12Hg. The functional is PBE-GGA.

Cell lengths 7.1142, 7.1142, 20.4761 Å; angles 90.00, 90.00, 90.00 degrees
Space group P4/nbm (No. 125, origin choice 2)
Symmetry-distinct sites (fractional):
K  0.2500  0.7500  0.2435 [4 per cell]
Tl  0.9995  0.0005  0.4091 [8 per cell]
Tl  0.0854  0.5854  0.0656 [8 per cell]
Tl  0.2500  0.2500  0.1582 [4 per cell]
Tl  0.2500  0.2500  0.3110 [4 per cell]
Hg  0.2500  0.7500  0.5000 [2 per cell]

Final energy   -61.700 eV per cell
Formation enthalpy at 0 K   0.00 eV per atom



Short version: total magnetic moment = 0.17; 0.09; 0.00; 0.00; 0.00; 0.11; 1.17; 0.00 μB per atom, in the order given.